# PBE+U NiPtO3, optimized geometry
data_NiPtO3
_space_group_name_H-M_alt 'P m -3 m'
_space_group_IT_number 221
_space_group_name_Hall '-P 4 2 3'
_cell_length_a 3.9002
_cell_length_b 3.9002
_cell_length_c 3.9002
_cell_angle_alpha 90.00
_cell_angle_beta 90.00
_cell_angle_gamma 90.00
loop_
_atom_site_label
_atom_site_fract_x
_atom_site_fract_y
_atom_site_fract_z
_atom_site_occupancy
Ni1 0.0000 0.0000 0.0000 1
Pt1 0.5000 0.5000 0.5000 1
O1 0.0000 0.5000 0.5000 1
# **Total DFT energy (no corrections)**: -4.085 eV/atom
# **Fermi-level density of states**: 6.41 states/eV/cell